{"formula": "K3SnF6", "functional": "PBE-GGA", "state": "optimized geometry", "formation_energy_uncorrected_ev_per_atom": -2.635, "vol_a3_per_cell": 386.55, "dos_at_fermi_per_ev_fu": 3.1, "space_group": "No. 14", "final_energy_ev_per_atom": -4.49, "crystal_system": "monoclinic", "lattice_angstrom": [[6.393, 0.000, 0.000], [0.000, 6.630, 0.000], [-6.346, 0.000, 9.121]], "species": ["K", "K", "K", "K", "K", "K", "Sn", "Sn", "F", "F", "F", "F", "F", "F", "F", "F", "F", "F", "F", "F"], "fractional_positions": [[0.000, 0.000, 0.000], [0.000, 0.500, 0.500], [0.229, 0.053, 0.747], [0.229, 0.447, 0.247], [0.771, 0.553, 0.753], [0.771, 0.947, 0.253], [0.500, 0.000, 0.500], [0.500, 0.500, 0.000], [0.174, 0.181, 0.447], [0.174, 0.319, 0.947], [0.256, 0.733, 0.428], [0.256, 0.767, 0.928], [0.394, 0.057, 0.278], [0.394, 0.443, 0.778], [0.606, 0.557, 0.222], [0.606, 0.943, 0.722], [0.744, 0.233, 0.072], [0.744, 0.267, 0.572], [0.826, 0.681, 0.053], [0.826, 0.819, 0.553]]}